1.
This record from Alexandria describes a relaxed structure of TbPmSm2Er4. The functional is PBE.

abc: 7.1285 7.1285 12.2898
angles: 106.90 106.90 59.97
Positions (direct):
Tb 0.0000 0.5000 0.0000
Tb 0.5000 0.0000 0.0000
Pm 0.0000 0.0000 0.0000
Pm 0.0000 0.0000 0.5000
Sm 0.0000 0.5000 0.5000
Sm 0.5000 0.0000 0.5000
Sm 0.5000 0.5000 0.0000
Sm 0.5000 0.5000 0.5000
Er 0.2499 0.2499 0.2491
Er 0.2502 0.2502 0.7508
Er 0.2496 0.7496 0.2492
Er 0.2504 0.7504 0.7508
Er 0.7496 0.2496 0.2492
Er 0.7504 0.2504 0.7508
Er 0.7498 0.7498 0.2492
Er 0.7501 0.7501 0.7509

## Properties
mass density	8.3	g/cm3
space group	C2/m, No. 12
ΔE_f	0.02	eV/atom

2.
This record from Alexandria describes a relaxed structure of NaTmPb6. The functional is PBE.

abc: 4.8334 4.8334 9.9941
angles: 90.00 90.00 90.00
Positions (direct):
Na 0.0000 0.0000 0.0000
Tm 0.0000 0.0000 0.5000
Pb 0.0000 0.5000 0.2515
Pb 0.0000 0.5000 0.7485
Pb 0.5000 0.0000 0.2515
Pb 0.5000 0.0000 0.7485
Pb 0.5000 0.5000 0.0000
Pb 0.5000 0.5000 0.5000

## Properties
mass density	10.2	g/cm3
space group	P4/mmm, No. 123
ΔE_f	-0.18	eV/atom

3.
This record from Alexandria describes a relaxed structure of PmEr4Sc. The functional is PBE.

abc: 3.5083 3.5083 14.6816
angles: 90.00 90.00 90.00
Positions (direct):
Pm 0.0000 0.0000 0.0000
Er 0.0000 0.0000 0.3444
Er 0.0000 0.0000 0.6556
Er 0.5000 0.5000 0.1750
Er 0.5000 0.5000 0.8250
Sc 0.5000 0.5000 0.5000

## Properties
mass density	7.9	g/cm3
space group	P4/mmm, No. 123
energy above the most stable polymorph in this dataset	0.0	meV/atom
ΔE_f	0.04	eV/atom

4.
This record from Alexandria describes a relaxed structure of Ac2H7Ru2. The functional is PBE.

abc: 6.0145 6.0145 3.5968
angles: 90.00 90.00 109.96
Positions (direct):
Ac 0.2242 0.7758 0.0000
Ac 0.7758 0.2242 0.0000
H 0.0000 0.0000 0.5000
H 0.1037 0.4450 0.5000
H 0.4450 0.1037 0.5000
H 0.5000 0.5000 0.2515
H 0.5000 0.5000 0.7485
H 0.5550 0.8963 0.5000
H 0.8963 0.5550 0.5000
Ru 0.2725 0.2725 0.5000
Ru 0.7275 0.7275 0.5000

## Properties
mass density	9.0	g/cm3
space group	Cmmm, No. 65
total energy	-4.794	eV/atom